1.
Computed, not measured: a geometry-optimized K2YBi2 structure at the GGA-PBE level of DFT.

Properties
ΔH_f (0 K), eV/atom: -0.170
Space group: P4/mbm
Calculated volume, Å³/atom: 36.00
Density, g/cm³: 5.4

Cell: 9.638 9.638 3.875 Å, 90.00 90.00 90.00°
Sites, in units of the cell vectors:
K  0.114  0.386  0.000
K  0.386  0.886  0.000
K  0.614  0.114  0.000
K  0.886  0.614  0.000
Y  0.000  0.000  0.500
Y  0.500  0.500  0.500
Bi  0.188  0.688  0.500
Bi  0.312  0.188  0.500
Bi  0.688  0.812  0.500
Bi  0.812  0.312  0.500

---

2.
Computed, not measured: a geometry-optimized KYBi2 structure at the GGA-PBE level of DFT.

Properties
ΔH_f (0 K), eV/atom: -0.385
Space group: R-3m
ΔE to the lowest computed polymorph, meV/atom: 156.1
Calculated volume, Å³/atom: 38.32
Density, g/cm³: 5.9

Cell: 9.103 9.103 9.103 Å, 28.65 28.65 28.65°
Sites, in units of the cell vectors:
K  0.000  0.000  0.000
Y  0.500  0.500  0.500
Bi  0.235  0.235  0.235
Bi  0.765  0.765  0.765

---

3.
Computed, not measured: a geometry-optimized KYBi2 structure at the GGA-PBE level of DFT.

Properties
ΔH_f (0 K), eV/atom: -0.352
Space group: Fm-3m
ΔE to the lowest computed polymorph, meV/atom: 188.8
Calculated volume, Å³/atom: 32.37
Density, g/cm³: 7.0

Cell: 5.679 5.679 5.679 Å, 60.00 60.00 60.00°
Sites, in units of the cell vectors:
K  0.000  0.000  0.000
Y  0.500  0.500  0.500
Bi  0.250  0.250  0.250
Bi  0.750  0.750  0.750

---

4.
Computed, not measured: a geometry-optimized K3YBi structure at the GGA-PBE level of DFT.

Properties
ΔH_f (0 K), eV/atom: 0.454
Space group: Pm-3m
ΔE to the lowest computed polymorph, meV/atom: 0.0
Calculated volume, Å³/atom: 61.44
Density, g/cm³: 2.2

Cell: 6.747 6.747 6.747 Å, 90.00 90.00 90.00°
Sites, in units of the cell vectors:
K  0.000  0.000  0.500
K  0.000  0.500  0.000
K  0.500  0.000  0.000
Y  0.500  0.500  0.500
Bi  0.000  0.000  0.000

---

5.
Computed, not measured: a geometry-optimized KZnBi structure at the GGA-PBE level of DFT.

Properties
ΔH_f (0 K), eV/atom: -0.201
Space group: Fddd
Calculated volume, Å³/atom: 32.03
Density, g/cm³: 5.4

Cell: 8.958 8.488 7.483 Å, 67.90 61.39 50.71°
Sites, in units of the cell vectors:
K  0.064  0.686  0.686
K  0.314  0.936  0.936
K  0.686  0.064  0.064
K  0.936  0.314  0.314
Zn  0.249  0.249  0.501
Zn  0.499  0.499  0.751
Zn  0.501  0.501  0.249
Zn  0.751  0.751  0.499
Bi  0.175  0.575  0.175
Bi  0.425  0.825  0.425
Bi  0.575  0.175  0.575
Bi  0.825  0.425  0.825

---

6.
Computed, not measured: a geometry-optimized K3Zn2Bi3 structure at the GGA-PBE level of DFT.

Properties
ΔH_f (0 K), eV/atom: -0.273
Space group: Cmcm
Calculated volume, Å³/atom: 33.27
Density, g/cm³: 5.5

Cell: 6.629 6.629 16.851 Å, 90.00 90.00 134.04°
Sites, in units of the cell vectors:
K  0.080  0.920  0.619
K  0.080  0.920  0.881
K  0.383  0.617  0.750
K  0.617  0.383  0.250
K  0.920  0.080  0.119
K  0.920  0.080  0.381
Zn  0.216  0.784  0.099
Zn  0.216  0.784  0.401
Zn  0.784  0.216  0.599
Zn  0.784  0.216  0.901
Bi  0.312  0.688  0.250
Bi  0.374  0.626  0.529
Bi  0.374  0.626  0.971
Bi  0.626  0.374  0.029
Bi  0.626  0.374  0.471
Bi  0.688  0.312  0.750

---

7.
Computed, not measured: a geometry-optimized K2Zn2Bi structure at the GGA-PBE level of DFT.

Properties
ΔH_f (0 K), eV/atom: -0.054
Space group: I4/mmm
ΔE to the lowest computed polymorph, meV/atom: 33.3
Calculated volume, Å³/atom: 31.42
Density, g/cm³: 4.4

Cell: 11.901 11.901 11.901 Å, 162.22 162.22 25.24°
Sites, in units of the cell vectors:
K  0.112  0.112  0.000
K  0.888  0.888  0.000
Zn  0.250  0.750  0.500
Zn  0.750  0.250  0.500
Bi  0.500  0.500  0.000

---

8.
Computed, not measured: a geometry-optimized K3Zn2Bi2 structure at the GGA-PBE level of DFT.

Properties
ΔH_f (0 K), eV/atom: -0.231
Space group: Pbcm
Calculated volume, Å³/atom: 35.49
Density, g/cm³: 4.5

Cell: 6.723 10.030 14.739 Å, 90.00 90.00 90.00°
Sites, in units of the cell vectors:
K  0.118  0.135  0.108
K  0.118  0.135  0.392
K  0.118  0.365  0.608
K  0.118  0.365  0.892
K  0.332  0.724  0.750
K  0.332  0.776  0.250
K  0.668  0.224  0.750
K  0.668  0.276  0.250
K  0.882  0.635  0.108
K  0.882  0.635  0.392
K  0.882  0.865  0.608
K  0.882  0.865  0.892
Zn  0.393  0.023  0.581
Zn  0.393  0.023  0.919
Zn  0.393  0.477  0.081
Zn  0.393  0.477  0.419
Zn  0.607  0.523  0.581
Zn  0.607  0.523  0.919
Zn  0.607  0.977  0.081
Zn  0.607  0.977  0.419
Bi  0.199  0.067  0.750
Bi  0.199  0.433  0.250
Bi  0.388  0.750  0.000
Bi  0.388  0.750  0.500
Bi  0.612  0.250  0.000
Bi  0.612  0.250  0.500
Bi  0.801  0.567  0.750
Bi  0.801  0.933  0.250

---

9.
Computed, not measured: a geometry-optimized K4ZnBi3 structure at the GGA-PBE level of DFT.

Properties
ΔH_f (0 K), eV/atom: -0.268
Space group: Pmm2
Calculated volume, Å³/atom: 42.50
Density, g/cm³: 4.1

Cell: 4.749 5.600 12.783 Å, 90.00 90.00 90.00°
Sites, in units of the cell vectors:
K  0.000  0.000  0.000
K  0.000  0.500  0.499
K  0.500  0.000  0.275
K  0.500  0.500  0.774
Zn  0.500  0.500  0.081
Bi  0.000  0.000  0.714
Bi  0.000  0.500  0.194
Bi  0.500  0.000  0.563

---

10.
Computed, not measured: a geometry-optimized K2Zn2Bi structure at the GGA-PBE level of DFT.

Properties
ΔH_f (0 K), eV/atom: 0.178
Space group: P4/mbm
ΔE to the lowest computed polymorph, meV/atom: 264.5
Calculated volume, Å³/atom: 33.81
Density, g/cm³: 4.1

Cell: 9.938 9.938 3.423 Å, 90.00 90.00 90.00°
Sites, in units of the cell vectors:
K  0.194  0.306  0.000
K  0.306  0.806  0.000
K  0.694  0.194  0.000
K  0.806  0.694  0.000
Zn  0.097  0.597  0.500
Zn  0.403  0.097  0.500
Zn  0.597  0.903  0.500
Zn  0.903  0.403  0.500
Bi  0.000  0.000  0.000
Bi  0.500  0.500  0.000

---

11.
Computed, not measured: a geometry-optimized K3ZnBi2 structure at the GGA-PBE level of DFT.

Properties
ΔH_f (0 K), eV/atom: -0.260
Space group: Ibam
Calculated volume, Å³/atom: 41.67
Density, g/cm³: 4.0

Cell: 9.418 9.418 9.418 Å, 119.83 78.42 134.68°
Sites, in units of the cell vectors:
K  0.178  0.664  0.842
K  0.250  0.250  0.000
K  0.322  0.164  0.486
K  0.678  0.836  0.514
K  0.750  0.750  0.000
K  0.822  0.336  0.158
Zn  0.250  0.750  0.500
Zn  0.750  0.250  0.500
Bi  0.087  0.308  0.395
Bi  0.413  0.808  0.221
Bi  0.587  0.192  0.779
Bi  0.913  0.692  0.605

---

12.
Computed, not measured: a geometry-optimized KZnBi structure at the GGA-PBE level of DFT.

Properties
ΔH_f (0 K), eV/atom: -0.105
Space group: P1
Calculated volume, Å³/atom: 36.24
Density, g/cm³: 4.8

Cell: 5.113 6.401 7.600 Å, 66.33 86.97 73.13°
Sites, in units of the cell vectors:
K  0.000  0.000  0.000
K  0.161  0.615  0.652
Zn  0.562  0.857  0.349
Zn  0.725  0.455  0.340
Bi  0.257  0.346  0.198
Bi  0.529  0.077  0.613

---

13.
Computed, not measured: a geometry-optimized K5ZnBi2 structure at the GGA-PBE level of DFT.

Properties
ΔH_f (0 K), eV/atom: -0.286
Space group: R-3m
Calculated volume, Å³/atom: 42.59
Density, g/cm³: 3.3

Cell: 10.851 10.851 10.851 Å, 33.19 33.19 33.19°
Sites, in units of the cell vectors:
K  0.000  0.000  0.000
K  0.130  0.130  0.130
K  0.280  0.280  0.280
K  0.720  0.720  0.720
K  0.870  0.870  0.870
Zn  0.500  0.500  0.500
Bi  0.412  0.412  0.412
Bi  0.588  0.588  0.588

---

14.
Computed, not measured: a geometry-optimized KZnBi structure at the GGA-PBE level of DFT.

Properties
ΔH_f (0 K), eV/atom: -0.130
Space group: P1
Calculated volume, Å³/atom: 35.62
Density, g/cm³: 4.9

Cell: 6.355 6.395 6.507 Å, 84.36 63.51 65.27°
Sites, in units of the cell vectors:
K  0.000  0.000  0.000
K  0.218  0.337  0.343
Zn  0.579  0.706  0.390
Zn  0.650  0.944  0.621
Bi  0.456  0.418  0.740
Bi  0.742  0.604  0.923

---

15.
Computed, not measured: a geometry-optimized KZn2Bi structure at the GGA-PBE level of DFT.

Properties
ΔH_f (0 K), eV/atom: 0.019
Space group: I4_1/amd
Calculated volume, Å³/atom: 35.15
Density, g/cm³: 4.5

Cell: 10.761 10.761 10.761 Å, 151.60 151.60 40.59°
Sites, in units of the cell vectors:
K  0.375  0.625  0.750
K  0.625  0.375  0.250
Zn  0.000  0.000  0.000
Zn  0.000  0.000  0.500
Zn  0.000  0.500  0.000
Zn  0.500  0.000  0.500
Bi  0.125  0.875  0.250
Bi  0.875  0.125  0.750

---

16.
Computed, not measured: a geometry-optimized K2Zn2Bi structure at the GGA-PBE level of DFT.

Properties
ΔH_f (0 K), eV/atom: -0.087
Space group: P4/mbm
ΔE to the lowest computed polymorph, meV/atom: 0.0
Calculated volume, Å³/atom: 31.95
Density, g/cm³: 4.3

Cell: 7.614 7.614 5.511 Å, 90.00 90.00 90.00°
Sites, in units of the cell vectors:
K  0.188  0.312  0.000
K  0.312  0.812  0.000
K  0.688  0.188  0.000
K  0.812  0.688  0.000
Zn  0.119  0.619  0.500
Zn  0.381  0.119  0.500
Zn  0.619  0.881  0.500
Zn  0.881  0.381  0.500
Bi  0.000  0.000  0.500
Bi  0.500  0.500  0.500

---

17.
Computed, not measured: a geometry-optimized KZrBi2 structure at the GGA-PBE level of DFT.

Properties
ΔH_f (0 K), eV/atom: 0.042
Space group: I-42d
ΔE to the lowest computed polymorph, meV/atom: 348.2
Calculated volume, Å³/atom: 53.08
Density, g/cm³: 4.3

Cell: 10.073 10.073 10.073 Å, 139.64 139.64 58.40°
Sites, in units of the cell vectors:
K  0.000  0.000  0.000
K  0.750  0.250  0.500
Zr  0.250  0.750  0.500
Zr  0.500  0.500  0.000
Bi  0.346  0.625  0.221
Bi  0.375  0.596  0.721
Bi  0.404  0.125  0.779
Bi  0.875  0.654  0.279

---

18.
Computed, not measured: a geometry-optimized KZrBi2 structure at the GGA-PBE level of DFT.

Properties
ΔH_f (0 K), eV/atom: -0.288
Space group: R3m
ΔE to the lowest computed polymorph, meV/atom: 18.5
Calculated volume, Å³/atom: 33.25
Density, g/cm³: 6.8

Cell: 9.638 9.638 9.638 Å, 24.28 24.28 24.28°
Sites, in units of the cell vectors:
K  0.000  0.000  0.000
Zr  0.832  0.832  0.832
Bi  0.235  0.235  0.235
Bi  0.430  0.430  0.430

---

19.
Computed, not measured: a geometry-optimized KZrBi2 structure at the GGA-PBE level of DFT.

Properties
ΔH_f (0 K), eV/atom: 0.019
Space group: Fm-3m
ΔE to the lowest computed polymorph, meV/atom: 325.1
Calculated volume, Å³/atom: 29.26
Density, g/cm³: 7.8

Cell: 5.491 5.491 5.491 Å, 60.00 60.00 60.00°
Sites, in units of the cell vectors:
K  0.000  0.000  0.000
Zr  0.500  0.500  0.500
Bi  0.250  0.250  0.250
Bi  0.750  0.750  0.750

---

20.
Computed, not measured: a geometry-optimized KZrBi2 structure at the GGA-PBE level of DFT.

Properties
ΔH_f (0 K), eV/atom: -0.306
Space group: P4/mmm
ΔE to the lowest computed polymorph, meV/atom: 0.0
Calculated volume, Å³/atom: 29.69
Density, g/cm³: 7.7

Cell: 3.511 3.511 9.637 Å, 90.00 90.00 90.00°
Sites, in units of the cell vectors:
K  0.000  0.000  0.000
Zr  0.000  0.000  0.500
Bi  0.500  0.500  0.285
Bi  0.500  0.500  0.715

---

In eV per atom, the final energy values for the records above are, in order, -3.454 -4.215 -4.183 -2.274 -2.285 -2.458 -1.778 -2.175 -2.431 -1.547 -2.314 -2.189 -2.102 -2.214 -1.862 -1.812 -4.310 -4.639 -4.333 -4.658.